Material: MnTeIr
Method: DFT, GGA-PBE
State: relaxed

The calculation puts the volume at 53.58 Å³ per cell. The uncorrected formation energy is 0.98 eV per formula unit. The value obtained for the density is 11615 kg/m³.

Cell: 5.802 5.801 3.164 Å, 74.20 74.16 31.65°
Fractional coordinates of all 3 atoms:
Ir 0.988 0.988 0.012
Te 0.661 0.661 0.339
Mn 0.351 0.351 0.649